Entry 1:
Here is VMoH2 after structural relaxation from Alexandria. Energies are from GGA-PBE.

It has space group R-3m (No. 166, hexagonal axes), with a = 2.9085 Å, b = 2.9085 Å, c = 13.5570 Å, α = 90.00°, β = 90.00° and γ = 120.00°. Symmetry generates all atoms from V at (0.0000, 0.0000, 0.0000), Mo at (0.0000, 0.0000, 0.5000) and H at (0.0000, 0.0000, 0.2547).

As for the total energy: -80.71 eV/cell. The calculation puts the total magnetic moment at 0.00 μB per formula unit.

***

Entry 2:
Here is V2MoH2 after structural relaxation from Alexandria. Energies are from GGA-PBE.

It has space group I4/mmm (No. 139), with a = 3.144 Å, b = 3.144 Å, c = 9.554 Å, α = 90.00°, β = 90.00° and γ = 90.00°. Symmetry generates all atoms from V at (0.000, 0.000, 0.157), Mo at (0.000, 0.000, 0.500) and H at (0.000, 0.500, 0.250).

As for the total energy: -73.14 eV/cell. The calculation puts the total magnetic moment at 0.00 μB per formula unit.

***

Entry 3:
Here is VMoH after structural relaxation from Alexandria. Energies are from GGA-PBE.

It has space group P3m1 (No. 156), with a = 2.7612 Å, b = 2.7612 Å, c = 4.8418 Å, α = 90.00°, β = 90.00° and γ = 120.00°. Symmetry generates all atoms from V at (0.0000, 0.0000, 0.0000), Mo at (0.3333, 0.6667, 0.5165) and H at (0.6667, 0.3333, 0.2269).

As for the total energy: -23.00 eV/cell. The calculation puts the total magnetic moment at 0.00 μB per formula unit.

***

Entry 4:
Here is V2Mo2H3 after structural relaxation from Alexandria. Energies are from GGA-PBE.

It has space group C2/m (No. 12), with a = 9.689 Å, b = 2.969 Å, c = 4.716 Å, α = 90.00°, β = 107.08° and γ = 90.00°. Symmetry generates all atoms from V at (0.132, 0.000, 0.376), Mo at (0.110, 0.500, 0.833), H at (0.000, 0.000, 0.000) and H at (0.247, 0.500, 0.239).

As for the total energy: -100.55 eV/cell. The calculation puts the total magnetic moment at 0.00 μB per formula unit.

***

Entry 5:
Here is V3MoH7 after structural relaxation from Alexandria. Energies are from GGA-PBE.

It has space group Cm (No. 8), with a = 5.967 Å, b = 5.968 Å, c = 5.158 Å, α = 90.00°, β = 125.20° and γ = 90.00°. Symmetry generates all atoms from V at (0.000, 0.000, 0.000), V at (0.494, 0.246, 0.494), Mo at (0.491, 0.000, 0.003), H at (0.109, 0.000, 0.739), H at (0.122, 0.500, 0.741), H at (0.124, 0.242, 0.254), H at (0.367, 0.255, 0.742) and H at (0.378, 0.500, 0.253).

As for the total energy: -126.62 eV/cell. The calculation puts the total magnetic moment at 0.00 μB per formula unit.

***

Entry 6:
Here is VMoH after structural relaxation from Alexandria. Energies are from GGA-PBE.

It has space group P2_1/m (No. 11), with a = 4.472 Å, b = 3.136 Å, c = 4.514 Å, α = 90.00°, β = 90.01° and γ = 90.00°. Symmetry generates all atoms from V at (0.003, 0.250, 0.234), Mo at (0.496, 0.750, 0.244) and H at (0.117, 0.250, 0.614).

As for the total energy: -47.25 eV/cell. The calculation puts the total magnetic moment at 0.00 μB per formula unit.

***

Entry 7:
Here is V4MoH after structural relaxation from Alexandria. Energies are from GGA-PBE.

It has space group C2/c (No. 15), with a = 5.494 Å, b = 9.033 Å, c = 6.170 Å, α = 90.00°, β = 90.38° and γ = 90.00°. Symmetry generates all atoms from V at (0.018, 0.164, 0.430), V at (0.225, 0.405, 0.236), Mo at (0.000, 0.352, 0.750) and H at (0.000, 0.006, 0.250).

As for the total energy: -195.90 eV/cell. The calculation puts the total magnetic moment at 0.00 μB per formula unit.

***

Entry 8:
Here is V2MoH after structural relaxation from Alexandria. Energies are from GGA-PBE.

It has space group R-3m (No. 166, hexagonal axes), with a = 2.9234 Å, b = 2.9234 Å, c = 18.6007 Å, α = 90.00°, β = 90.00° and γ = 120.00°. Symmetry generates all atoms from V at (0.0000, 0.0000, 0.2272), Mo at (0.0000, 0.0000, 0.0000) and H at (0.0000, 0.0000, 0.5000).

As for the total energy: -96.05 eV/cell. The calculation puts the total magnetic moment at 0.00 μB per formula unit.